1.
The following is a DFT calculation (GGA-PBE) of a relaxed PrTmNi2 crystal.

Computed properties:
The space-group type is Pmc2_1, No. 26. The total energy is -44.7 eV per cell. For the density, the calculation gives 8.5 g cm⁻³. Its energy relative to the lowest polymorph listed for this composition is 0.2 kJ per mole of atoms. The energy of formation is -0.379 eV per atom. The calculation puts the total moment at 0.00 μB/atom.

Lattice parameters (Å, degrees): 4.245 5.503 7.129 90.00 90.00 90.00
Fractional coordinates of all 8 atoms:
Pr1 0.000 0.117 0.000
Pr2 0.000 0.883 0.500
Tm1 0.500 0.385 0.639
Tm2 0.500 0.615 0.139
Ni1 0.000 0.389 0.361
Ni2 0.000 0.611 0.861
Ni3 0.500 0.142 0.286
Ni4 0.500 0.858 0.786


2.
The following is a DFT calculation (GGA-PBE) of a relaxed InSiI3 crystal.

Computed properties:
The space-group type is Pm-3m, No. 221. The total energy is -13.6 eV per cell. For the density, the calculation gives 4.6 g cm⁻³. Its energy relative to the lowest polymorph listed for this composition is 0.0 kJ per mole of atoms. The calculation puts the total moment at 0.00 μB/atom.

Lattice parameters (Å, degrees): 5.733 5.733 5.733 90.00 90.00 90.00
Fractional coordinates of all 5 atoms:
In1 0.000 0.000 0.000
Si1 0.500 0.500 0.500
I1 0.000 0.500 0.500
I2 0.500 0.000 0.500
I3 0.500 0.500 0.000


3.
The following is a DFT calculation (GGA-PBE) of a relaxed Na3Np2ZnSe6 crystal.

Computed properties:
The space-group type is C2/m, No. 12. The total energy is -64.6 eV per cell. For the density, the calculation gives 5.9 g cm⁻³. The calculation puts the total moment at 0.58 μB/atom.

Lattice parameters (Å, degrees): 7.092 7.092 7.356 99.23 99.23 120.03
Fractional coordinates of all 12 atoms:
Na1 0.000 0.000 0.000
Na2 0.333 0.667 0.000
Na3 0.667 0.333 0.000
Np1 0.167 0.833 0.500
Np2 0.833 0.167 0.500
Zn1 0.500 0.500 0.500
Se1 0.100 0.425 0.275
Se2 0.251 0.251 0.724
Se3 0.425 0.100 0.275
Se4 0.575 0.900 0.725
Se5 0.749 0.749 0.276
Se6 0.900 0.575 0.725